Entry from Alexandria: a relaxed structure of SiSn2AsO (PBE-GGA).

Lattice parameters (Å, degrees): 5.6071 5.6071 4.6371 90.00 90.00 90.00
Closest atoms and distances in Å follow each position.
Atoms (fractional coordinates):
As  0.0000  0.0000  0.0000  2 Si 2.32
Si  0.0000  0.0000  0.5000  2 As 2.32
Sn  0.0000  0.5000  0.0000  2 As 2.80
Sn  0.5000  0.0000  0.0000  2 As 2.80
O  0.5000  0.5000  0.5000  8 Sn 3.64, 4 Si 3.96

Values from the calculation:
formation energy without anion corrections	0.97	eV per atom
mass density	4.06	Mg/m³